CsSn2Sb: optimized geometry, PBE-GGA.

The structure belongs to space group Cmcm (No. 63); the cell edges are 6.090, 12.292 and 7.716 Å and the angles 90.00°, 90.00° and 90.00°. The distinct sites, in fractional coordinates, are Cs at (0.000, 0.084, 0.250), Sn at (0.000, 0.378, 0.052) and Sb at (0.000, 0.213, 0.750).

Its total DFT energy (no corrections) is -3.310 eV/atom. Its raw formation energy is -0.06 eV/atom. The calculation puts the total magnetization at 0.00 μB per atom. The density comes out at 5.7 Mg/m³. For the density of states at the Fermi level, the calculation gives 8.1 states/eV per cell.